No. 1
DFT (PBE-GGA) results for crystalline LiSbP at its relaxed geometry.

Values from the calculation:
E above lowest polymorph ... 0.174 eV per atom

a b c (Å): 4.9811 4.9811 5.7019
angles (deg): 90.00 90.00 120.00
Fractional coordinates of all 6 atoms:
Li1 0.0000 0.0000 0.2145
Li2 0.0000 0.0000 0.7145
Sb1 0.6667 0.3333 0.9532
Sb2 0.3333 0.6667 0.4532
P1 0.6667 0.3333 0.4133
P2 0.3333 0.6667 0.9133


No. 2
DFT (PBE-GGA) results for crystalline Li2SbP at its relaxed geometry.

Values from the calculation:
E above lowest polymorph ... 0.306 eV per atom

a b c (Å): 3.1076 3.1076 7.9849
angles (deg): 90.00 90.00 90.00
Fractional coordinates of all 4 atoms:
Li1 0.0000 0.0000 0.0488
Li2 0.5000 0.5000 0.2500
P1 0.0000 0.0000 0.3920
Sb1 0.5000 0.5000 0.8093


No. 3
DFT (PBE-GGA) results for crystalline Li2SbP at its relaxed geometry.

Values from the calculation:
E above lowest polymorph ... 0.283 eV per atom

a b c (Å): 4.7716 4.7716 4.7716
angles (deg): 60.00 60.00 60.00
Fractional coordinates of all 4 atoms:
Li1 0.5000 0.5000 0.5000
Li2 0.7500 0.7500 0.7500
P1 0.2500 0.2500 0.2500
Sb1 0.0000 0.0000 0.0000


No. 4
DFT (PBE-GGA) results for crystalline Li2SbP at its relaxed geometry.

Values from the calculation:
E above lowest polymorph ... 0.174 eV per atom

a b c (Å): 8.6686 8.6686 8.6686
angles (deg): 21.23 21.23 21.23
Site moments in Bohr magnetons follow the coordinates.
Fractional coordinates of all 4 atoms:
Li1 0.9872 0.9872 0.9872  0.00
Li2 0.5128 0.5128 0.5128  0.00
P1 0.2500 0.2500 0.2500  0.00
Sb1 0.7500 0.7500 0.7500  0.14


No. 5
DFT (PBE-GGA) results for crystalline LiSbP2 at its relaxed geometry.

a b c (Å): 4.6900 4.6900 4.6900
angles (deg): 60.00 60.00 60.00
Fractional coordinates of all 4 atoms:
Li1 0.5000 0.5000 0.5000
P1 0.0000 0.0000 0.0000
P2 0.2500 0.2500 0.2500
Sb1 0.7500 0.7500 0.7500


No. 6
DFT (PBE-GGA) results for crystalline Li4SbP at its relaxed geometry.

a b c (Å): 5.1937 5.1937 5.1937
angles (deg): 60.00 60.00 60.00
Fractional coordinates of all 6 atoms:
Li1 0.3750 0.8751 0.3750
Li2 0.8751 0.3750 0.3750
Li3 0.3750 0.3750 0.8751
Li4 0.3750 0.3750 0.3750
Sb1 0.0000 0.0000 0.0000
P1 0.7500 0.7500 0.7500


No. 7
DFT (PBE-GGA) results for crystalline LiSbP at its relaxed geometry.

Values from the calculation:
E above lowest polymorph ... 0.090 eV per atom

a b c (Å): 3.7310 3.7310 10.7512
angles (deg): 90.00 90.00 120.00
Fractional coordinates of all 6 atoms:
Li1 0.6667 0.3333 0.0429
Li2 0.3333 0.6667 0.5429
Sb1 0.6667 0.3333 0.3262
Sb2 0.3333 0.6667 0.8262
P1 0.0000 0.0000 0.1808
P2 0.0000 0.0000 0.6808


No. 8
DFT (PBE-GGA) results for crystalline Li2SbP at its relaxed geometry.

Values from the calculation:
E above lowest polymorph ... 0.050 eV per atom

a b c (Å): 5.0288 5.0288 2.9999
angles (deg): 89.99 89.99 109.28
Fractional coordinates of all 4 atoms:
Li1 0.0000 0.0000 0.0000
Li2 0.5000 0.5000 0.0000
P1 0.5000 0.0000 0.5000
Sb1 0.0000 0.5000 0.5000


No. 9
DFT (PBE-GGA) results for crystalline Li2Sb2P at its relaxed geometry.

Values from the calculation:
E above lowest polymorph ... 0.000 eV per atom

a b c (Å): 4.0842 4.0842 14.4135
angles (deg): 90.00 90.00 90.00
Fractional coordinates of all 10 atoms:
Li1 0.0000 0.0000 0.0000
Li2 0.5000 0.5000 0.0000
Li3 0.5000 0.0000 0.6478
Li4 0.0000 0.5000 0.3522
Sb1 0.0000 0.0000 0.5000
Sb2 0.5000 0.5000 0.5000
Sb3 0.5000 0.0000 0.8409
Sb4 0.0000 0.5000 0.1591
P1 0.5000 0.0000 0.1273
P2 0.0000 0.5000 0.8727


No. 10
DFT (PBE-GGA) results for crystalline LiSbP2 at its relaxed geometry.

a b c (Å): 6.3039 6.3039 5.0955
angles (deg): 117.29 117.29 29.70
Fractional coordinates of all 4 atoms:
Li1 0.2500 0.2500 0.2500
P1 0.0089 0.0089 0.1173
P2 0.4911 0.4911 0.3827
Sb1 0.7500 0.7500 0.7500


No. 11
DFT (PBE-GGA) results for crystalline LiSbP at its relaxed geometry.

Values from the calculation:
E above lowest polymorph ... 0.092 eV per atom

a b c (Å): 3.6873 3.6873 5.4611
angles (deg): 90.00 90.00 120.00
Fractional coordinates of all 3 atoms:
Li1 0.0000 0.0000 0.0434
P1 0.6667 0.3333 0.3341
Sb1 0.3333 0.6667 0.6224


No. 12
DFT (PBE-GGA) results for crystalline LiSbP2 at its relaxed geometry.

a b c (Å): 7.5901 7.5901 7.5901
angles (deg): 26.36 26.36 26.36
Fractional coordinates of all 4 atoms:
Li1 0.7396 0.7396 0.7396
P1 0.9884 0.9884 0.9884
P2 0.2665 0.2665 0.2665
Sb1 0.5055 0.5055 0.5055


No. 13
DFT (PBE-GGA) results for crystalline LiSbP at its relaxed geometry.

Values from the calculation:
E above lowest polymorph ... 0.234 eV per atom

a b c (Å): 4.8936 4.8936 2.9575
angles (deg): 90.00 90.00 120.00
Fractional coordinates of all 3 atoms:
Li1 0.0000 0.0000 0.9996
P1 0.6667 0.3333 0.5010
Sb1 0.3333 0.6667 0.4994


No. 14
DFT (PBE-GGA) results for crystalline LiSbP at its relaxed geometry.

Values from the calculation:
E above lowest polymorph ... 0.035 eV per atom

a b c (Å): 4.0503 5.8856 10.9797
angles (deg): 90.00 90.00 90.00
Fractional coordinates of all 12 atoms:
Sb1 0.2500 0.2058 0.8936
Sb2 0.7500 0.2942 0.3936
Sb3 0.7500 0.7942 0.1064
Sb4 0.2500 0.7058 0.6064
P1 0.2500 0.6281 0.8382
P2 0.7500 0.8719 0.3382
P3 0.7500 0.3719 0.1618
P4 0.2500 0.1281 0.6618
Li1 0.2500 0.6055 0.2788
Li2 0.7500 0.8945 0.7788
Li3 0.7500 0.3945 0.7212
Li4 0.2500 0.1055 0.2212


No. 15
DFT (PBE-GGA) results for crystalline Li3SbP4 at its relaxed geometry.

Values from the calculation:
E above lowest polymorph ... 0.090 eV per atom

a b c (Å): 5.7239 7.0734 7.1963
angles (deg): 89.62 90.00 90.00
Fractional coordinates of all 16 atoms:
Sb1 0.8506 0.7500 0.0000
Sb2 0.1494 0.2500 0.0000
Li1 0.3450 0.7500 0.0000
Li2 0.6550 0.2500 0.0000
Li3 0.0186 0.2500 0.5000
Li4 0.9814 0.7500 0.5000
Li5 0.5025 0.7500 0.5000
Li6 0.4975 0.2500 0.5000
P1 0.6855 0.9943 0.2643
P2 0.6855 0.5057 0.7357
P3 0.3145 0.0057 0.7357
P4 0.3145 0.4943 0.2643
P5 0.6836 0.9963 0.7362
P6 0.6836 0.5037 0.2638
P7 0.3164 0.0037 0.2638
P8 0.3164 0.4963 0.7362


No. 16
DFT (PBE-GGA) results for crystalline LiSbP at its relaxed geometry.

Values from the calculation:
E above lowest polymorph ... 0.121 eV per atom

a b c (Å): 5.4296 5.4296 3.6855
angles (deg): 70.16 70.16 39.68
Fractional coordinates of all 3 atoms:
Li1 0.0057 0.0057 0.9943
P1 0.2933 0.2933 0.7067
Sb1 0.7009 0.7009 0.2991


No. 17
DFT (PBE-GGA) results for crystalline Li2SbP at its relaxed geometry.

Values from the calculation:
E above lowest polymorph ... 0.029 eV per atom

a b c (Å): 3.0231 3.0231 7.9845
angles (deg): 90.00 90.00 89.98
Fractional coordinates of all 4 atoms:
Li1 0.0000 0.0000 0.0470
Li2 0.0000 0.0000 0.4530
P1 0.5000 0.5000 0.2500
Sb1 0.5000 0.5000 0.7500


No. 18
DFT (PBE-GGA) results for crystalline Li2SbP at its relaxed geometry.

Values from the calculation:
E above lowest polymorph ... 0.132 eV per atom

a b c (Å): 4.6419 4.6419 4.6419
angles (deg): 60.00 60.00 60.00
Fractional coordinates of all 4 atoms:
Sb1 0.5000 0.5000 0.5000
Li1 0.2500 0.2500 0.2500
Li2 0.7500 0.7500 0.7500
P1 0.0000 0.0000 0.0000


No. 19
DFT (PBE-GGA) results for crystalline LiSb2P3 at its relaxed geometry.

a b c (Å): 5.0137 5.0137 5.6033
angles (deg): 90.00 90.00 120.00
Fractional coordinates of all 6 atoms:
Li1 0.0000 0.0000 0.0000
Sb1 0.3333 0.6667 0.2853
Sb2 0.6667 0.3333 0.7147
P1 0.3333 0.6667 0.7445
P2 0.6667 0.3333 0.2555
P3 0.0000 0.0000 0.5000


No. 20
DFT (PBE-GGA) results for crystalline Li2SbP at its relaxed geometry.

Values from the calculation:
E above lowest polymorph ... 0.171 eV per atom

a b c (Å): 3.7727 3.7727 5.2888
angles (deg): 90.00 90.00 90.00
Fractional coordinates of all 4 atoms:
Li1 0.0000 0.0000 0.0045
Li2 0.5000 0.5000 0.2486
P1 0.0000 0.0000 0.5157
Sb1 0.5000 0.5000 0.7312


| no. | formation energy without anion corrections (eV per atom) | E_tot (Ha/atom) | DOS(E_F) (states/eV per atom) |
| --- | --- | --- | --- |
| 1 | -0.025 | -0.141 | 0.447 |
| 2 | -0.047 | -0.124 | 0.498 |
| 3 | -0.070 | -0.125 | 0.484 |
| 4 | -0.180 | -0.129 | 0.819 |
| 5 | 0.348 | -0.142 | 0.609 |
| 6 | -0.061 | -0.108 | 0.532 |
| 7 | -0.109 | -0.144 | 0.733 |
| 8 | -0.304 | -0.134 | 0.216 |
| 9 | -0.141 | -0.134 | 0.459 |
| 10 | -0.120 | -0.159 | 0.382 |
| 11 | -0.107 | -0.144 | 0.573 |
| 12 | -0.094 | -0.158 | 0.195 |
| 13 | 0.035 | -0.139 | 0.365 |
| 14 | -0.163 | -0.146 | 0.262 |
| 15 | -0.209 | -0.152 | 0.253 |
| 16 | -0.078 | -0.143 | 0.072 |
| 17 | -0.324 | -0.135 | 0.322 |
| 18 | -0.222 | -0.131 | 0.349 |
| 19 | 0.279 | -0.151 | 0.455 |
| 20 | -0.183 | -0.129 | 0.294 |